# 1
A relaxed Ti3Tc3Mo2 crystal. Source: Alexandria, functional PBE-GGA.

## Properties
ΔE_f, eV per formula unit: -3.41
Total magnetization, μB/cell: 0.00
E, Ha/atom: -0.3668
Density of states at the Fermi level, states/eV/f.u.: 3.55

Unit cell a=3.1162 b=4.3698 c=9.3388 alpha=103.53 beta=99.60 gamma=90.00
Fractional positions:
Tc 0.0000 0.5000 0.0000
Tc 0.1266 0.1266 0.2532
Tc 0.8734 0.8734 0.7468
Ti 0.3795 0.3795 0.7589
Ti 0.6205 0.6205 0.2411
Ti 0.5000 0.0000 0.0000
Mo 0.7466 0.2466 0.4932
Mo 0.2534 0.7534 0.5068

---

# 2
A relaxed Y2Cu3Ni12Ge crystal. Source: Alexandria, functional PBE-GGA.

## Properties
ΔE_f, eV per formula unit: 2.72
Total magnetization, μB/cell: 0.00
E, Ha/atom: -0.1970
Density of states at the Fermi level, states/eV/f.u.: 21.51

Unit cell a=9.2607 b=9.2607 c=9.2607 alpha=37.18 beta=37.18 gamma=37.18
Fractional positions:
Ge 0.0000 0.0000 0.0000
Ni 0.0789 0.6364 0.0789
Ni 0.0789 0.0789 0.6364
Ni 0.4202 0.8098 0.4202
Ni 0.8098 0.4202 0.4202
Ni 0.3636 0.9211 0.9211
Ni 0.4202 0.4202 0.8098
Ni 0.9211 0.9211 0.3636
Ni 0.9211 0.3636 0.9211
Ni 0.5798 0.5798 0.1902
Ni 0.6364 0.0789 0.0789
Ni 0.5798 0.1902 0.5798
Ni 0.1902 0.5798 0.5798
Y 0.3523 0.3523 0.3523
Y 0.6477 0.6477 0.6477
Cu 0.5000 0.0000 0.0000
Cu 0.0000 0.5000 0.0000
Cu 0.0000 0.0000 0.5000

---

# 3
A relaxed H12Pt7Pb crystal. Source: Alexandria, functional PBE-GGA.

## Properties
Total magnetization, μB/cell: 0.00
E, Ha/atom: -0.1563
Density of states at the Fermi level, states/eV/f.u.: 3.09

Unit cell a=9.3068 b=6.1996 c=6.1996 alpha=82.85 beta=59.97 gamma=120.03
Fractional positions:
Pt 0.1554 0.0001 0.3087
Pt 0.5358 0.6913 0.3088
Pt 0.4642 0.3087 0.6912
Pt 0.8446 0.3088 0.9999
Pt 0.5000 0.0000 0.0000
Pt 0.8446 0.9999 0.6913
Pt 0.1554 0.6912 0.0001
H 0.8790 0.7573 0.6218
H 0.1945 0.7357 0.2646
H 0.5412 0.0003 0.2643
H 0.1217 0.6209 0.7573
H 0.4590 0.2646 0.9997
H 0.5008 0.6218 0.6209
H 0.8055 0.2643 0.7354
H 0.4588 0.9997 0.7357
H 0.5410 0.7354 0.0003
H 0.4992 0.3782 0.3791
H 0.8783 0.3791 0.2427
H 0.1210 0.2427 0.3782
Pb 0.0000 0.0000 0.0000

---

# 4
A relaxed Be2CdHg2 crystal. Source: Alexandria, functional PBE-GGA.

## Properties
ΔE_f, eV per formula unit: 2.11
Total magnetization, μB/cell: 0.00
E, Ha/atom: -0.0505
Density of states at the Fermi level, states/eV/f.u.: 1.59

Unit cell a=6.7900 b=6.7900 c=3.7319 alpha=90.00 beta=90.00 gamma=90.00
Fractional positions:
Be 0.8785 0.6215 0.0000
Be 0.3785 0.8785 0.0000
Be 0.1215 0.3785 0.0000
Be 0.6215 0.1215 0.0000
Hg 0.8282 0.3282 0.5000
Hg 0.6718 0.8282 0.5000
Hg 0.1718 0.6718 0.5000
Hg 0.3282 0.1718 0.5000
Cd 0.0000 0.0000 0.0000
Cd 0.5000 0.5000 0.0000

---

# 5
A relaxed ZnInHgBr2 crystal. Source: Alexandria, functional PBE-GGA.

## Properties
Total magnetization, μB/cell: 0.00
E, Ha/atom: -0.0674
Density of states at the Fermi level, states/eV/f.u.: 1.69
Uncorrected formation energy, eV/atom: -0.3029

Unit cell a=5.4726 b=5.4726 c=5.2705 alpha=90.00 beta=90.00 gamma=90.00
Fractional positions:
Hg 0.0000 0.0000 0.5000
Br 0.0000 0.5000 0.0000
Br 0.5000 0.0000 0.0000
Zn 0.0000 0.0000 0.0000
In 0.5000 0.5000 0.5000

---

# 6
A relaxed Np3Au5S12 crystal. Source: Alexandria, functional PBE-GGA.

## Properties
Total magnetization, μB/cell: 32.51
E, Ha/atom: -0.2081
Density of states at the Fermi level, states/eV/f.u.: 29.34
Uncorrected formation energy, eV/atom: -0.4247

Unit cell a=13.1303 b=13.1303 c=13.1303 alpha=109.47 beta=109.47 gamma=109.47
Fractional positions:
Np 0.1250 0.2500 0.8750
Np 0.1250 0.8750 0.7500
Np 0.6250 0.3750 0.7500
Np 0.3750 0.6250 0.2500
Np 0.6250 0.2500 0.3750
Np 0.8750 0.1250 0.2500
Np 0.7500 0.3750 0.1250
Np 0.2500 0.1250 0.3750
Np 0.3750 0.7500 0.6250
Np 0.8750 0.7500 0.1250
Np 0.2500 0.6250 0.8750
Np 0.7500 0.8750 0.6250
Au 0.5000 0.5000 0.5000
Au 0.2500 0.3750 0.6250
Au 0.8750 0.2500 0.6250
Au 0.1250 0.3750 0.2500
Au 0.5000 0.0000 0.0000
Au 0.0000 0.0000 0.0000
Au 0.0000 0.5000 0.0000
Au 0.2500 0.8750 0.1250
Au 0.6250 0.7500 0.8750
Au 0.1250 0.7500 0.3750
Au 0.3750 0.2500 0.1250
Au 0.7500 0.6250 0.3750
Au 0.5000 0.0000 0.5000
Au 0.6250 0.8750 0.2500
Au 0.5000 0.5000 0.0000
Au 0.0000 0.5000 0.5000
Au 0.7500 0.1250 0.8750
Au 0.8750 0.6250 0.7500
Au 0.0000 0.0000 0.5000
Au 0.3750 0.1250 0.7500
S 0.2191 0.5496 0.6333
S 0.6333 0.0496 0.2191
S 0.6333 0.5837 0.9142
S 0.0858 0.1695 0.2191
S 0.9504 0.5837 0.1695
S 0.7809 0.3305 0.9142
S 0.7191 0.5858 0.1695
S 0.1695 0.0837 0.9504
S 0.4163 0.0496 0.3305
S 0.4142 0.1333 0.5837
S 0.0496 0.4163 0.8305
S 0.1695 0.0858 0.7191
S 0.8667 0.5858 0.9163
S 0.4142 0.2809 0.3305
S 0.9504 0.3667 0.2809
S 0.5858 0.8667 0.4163
S 0.2809 0.4142 0.8305
S 0.0837 0.1695 0.4504
S 0.4163 0.3667 0.5858
S 0.5837 0.6333 0.4142
S 0.7191 0.1333 0.0496
S 0.3305 0.5496 0.4163
S 0.3305 0.7809 0.4142
S 0.1333 0.7191 0.5496
S 0.5496 0.3305 0.9163
S 0.5837 0.9504 0.6695
S 0.2191 0.6695 0.0858
S 0.5496 0.2191 0.1333
S 0.0837 0.9142 0.1333
S 0.8305 0.9142 0.2809
S 0.4504 0.6695 0.0837
S 0.1333 0.4142 0.0837
S 0.0858 0.9163 0.3667
S 0.2809 0.8667 0.9504
S 0.3667 0.4163 0.0858
S 0.8305 0.9163 0.0496
S 0.7809 0.4504 0.3667
S 0.6695 0.4504 0.5837
S 0.9142 0.0837 0.6333
S 0.0496 0.6333 0.7191
S 0.9163 0.0858 0.8667
S 0.9142 0.8305 0.7809
S 0.9163 0.8305 0.5496
S 0.4504 0.7809 0.8667
S 0.6695 0.2191 0.5858
S 0.8667 0.2809 0.4504
S 0.5858 0.7191 0.6695
S 0.3667 0.9504 0.7809